The following is a DFT calculation (PBE) of crystalline TbHo3Mn at its relaxed geometry.

Results
The value obtained for the calculated total energy is -5.272 eV per atom. The calculation puts the size of the total moment at 0.4 μB per formula unit. As for the formation energy: 234.3 meV/atom.

Cell: 5.2740 5.2740 5.2740 Å, 90.00 90.00 90.00°
Fractional positions:
Tb1 0.0000 0.0000 0.0000
Ho1 0.0000 0.5000 0.5000
Ho2 0.5000 0.0000 0.5000
Ho3 0.5000 0.5000 0.0000
Mn1 0.5000 0.5000 0.5000